DFT (GGA-PBE) results for Y3P4Rh4 after structural relaxation.

Results
- Energy relative to the elements: -1.18 eV per atom
- Mass density: 7.26 g/cm³
- Symmetry: Immm (71)

a = 3.970 Å, b = 6.974 Å, c = 7.746 Å
α = 116.76°, β = 104.85°, γ = 90.00°
Fractional positions:
P 0.220 0.720 0.439
P 0.780 0.280 0.561
P 0.500 0.793 0.000
P 0.500 0.207 0.000
Rh 0.324 0.526 0.648
Rh 0.676 0.878 0.352
Rh 0.324 0.122 0.648
Rh 0.676 0.474 0.352
Y 0.879 0.879 0.758
Y 0.000 0.500 0.000
Y 0.121 0.121 0.242